(1)
CsK3Re: optimized geometry, PBE-GGA.

energy relative to the lowest polymorph listed for this composition = 535 meV/atom
ΔH_f (0 K) = 1.789 eV/atom
total magnetic moment = 4.55 μB/f.u.

a = 7.9606 Å, b = 7.9606 Å, c = 7.9606 Å
α = 90.00°, β = 90.00°, γ = 90.00°
Last column: nearest neighbours and their distance in Å.
Sites, in units of the cell vectors:
Cs (0.0000, 0.0000, 0.0000)  6 K 3.98
K (0.0000, 0.0000, 0.5000)  2 Cs 3.98
K (0.0000, 0.5000, 0.0000)  2 Cs 3.98
K (0.5000, 0.0000, 0.0000)  2 Cs 3.98
Re (0.5000, 0.5000, 0.5000)  12 K 5.63

(2)
BaMoBr: optimized geometry, PBE-GGA.

energy relative to the lowest polymorph listed for this composition = 0 meV/atom
E_form (uncorrected) = 0.532 eV/atom
total magnetic moment = 4.67 μB/f.u.

a = 5.2794 Å, b = 5.2794 Å, c = 3.9710 Å
α = 90.00°, β = 90.00°, γ = 120.00°
Last column: nearest neighbours and their distance in Å.
Sites, in units of the cell vectors:
Ba (0.0000, 0.0000, 0.0000)  6 Br 3.64, 6 Mo 3.64, 2 Ba 3.97
Mo (0.3333, 0.6667, 0.5000)  3 Br 3.05
Br (0.6667, 0.3333, 0.5000)  3 Mo 3.05

(3)
In3GeAu4: optimized geometry, PBE-GGA.

ΔH_f (0 K) = -0.122 eV/atom
total magnetic moment = 0.00 μB/f.u.

a = 6.0068 Å, b = 8.6211 Å, c = 7.3907 Å
α = 90.00°, β = 115.30°, γ = 90.00°
Last column: nearest neighbours and their distance in Å.
Sites, in units of the cell vectors:
In (0.0000, 0.0886, 0.2500)  6 Au 2.82-3.00
In (0.0000, 0.3219, 0.7500)  6 Au 2.87-2.97
In (0.0000, 0.6781, 0.2500)  6 Au 2.87-2.97
In (0.0000, 0.9114, 0.7500)  6 Au 2.82-3.00
In (0.5000, 0.4076, 0.2500)  6 Au 2.86-2.93
In (0.5000, 0.5924, 0.7500)  6 Au 2.86-2.93
Ge (0.5000, 0.1869, 0.7500)  6 Au 2.73-2.95
Ge (0.5000, 0.8131, 0.2500)  6 Au 2.73-2.95
Au (0.1861, 0.3775, 0.4563)  1 Ge 2.73, 5 In 2.86-2.97, 1 Au 2.91
Au (0.1861, 0.6225, 0.9563)  1 Ge 2.73, 5 In 2.86-2.97, 1 Au 2.91
Au (0.3318, 0.1120, 0.0418)  4 In 2.82-3.00, 2 Ge 2.82-2.95, 2 Au 2.87-3.04
Au (0.3318, 0.8880, 0.5418)  4 In 2.82-3.00, 2 Ge 2.82-2.95, 2 Au 2.87-3.04
Au (0.6682, 0.1120, 0.4582)  4 In 2.82-3.00, 2 Ge 2.82-2.95, 2 Au 2.87-3.04
Au (0.6682, 0.8880, 0.9582)  4 In 2.82-3.00, 2 Ge 2.82-2.95, 2 Au 2.87-3.04
Au (0.8139, 0.3775, 0.0437)  1 Ge 2.73, 5 In 2.86-2.97, 1 Au 2.91
Au (0.8139, 0.6225, 0.5437)  1 Ge 2.73, 5 In 2.86-2.97, 1 Au 2.91

> Which of these has the lowest total magnetic moment?

In3GeAu4

> The lowest total magnetic moment belongs to which entry?

In3GeAu4

> Look up the total magnetic moment of the first one.

4.55 μB/f.u.